Entry 1:
First-principles (PBE-GGA) data for a geometry-optimized VRePd3 structure, as listed in the Alexandria database.

Output
The value obtained for the calculated volume is 94 Å³ per cell. As for the mass density: 9.86 g/cm³. Its calculated formation energy is 6.9 eV/f.u.

Geometry as CIF:
```
data_VRePd3
_chemical_formula_sum 'V1 Re1 Pd3'
_symmetry_space_group_name_H-M 'P m -3 m'
_symmetry_Int_Tables_number 221
_symmetry_space_group_name_Hall '-P 4 2 3'
_cell_length_a 4.5419
_cell_length_b 4.5419
_cell_length_c 4.5419
_cell_angle_alpha 90.00
_cell_angle_beta 90.00
_cell_angle_gamma 90.00
loop_
_atom_site_label
_atom_site_fract_x
_atom_site_fract_y
_atom_site_fract_z
V1 0.0000 0.0000 0.0000
Re1 0.5000 0.5000 0.5000
Pd1 0.0000 0.0000 0.5000
```

Entry 2:
First-principles (PBE-GGA) data for a geometry-optimized TbHoIr2 structure, as listed in the Alexandria database.

Output
The value obtained for the calculated volume is 322 Å³ per cell. As for the mass density: 14.60 g/cm³. Its calculated formation energy is -3.2 eV/f.u.

Geometry as CIF:
```
data_TbHoIr2
_chemical_formula_sum 'Tb4 Ho4 Ir8'
_symmetry_space_group_name_H-M 'F m -3 m'
_symmetry_Int_Tables_number 225
_symmetry_space_group_name_Hall '-F 4 2 3'
_cell_length_a 6.8556
_cell_length_b 6.8556
_cell_length_c 6.8556
_cell_angle_alpha 90.00
_cell_angle_beta 90.00
_cell_angle_gamma 90.00
loop_
_atom_site_label
_atom_site_fract_x
_atom_site_fract_y
_atom_site_fract_z
Tb1 0.0000 0.0000 0.0000
Ho1 0.0000 0.0000 0.5000
Ir1 0.2500 0.2500 0.2500
```

Please write out number 2 again, unchanged.
First-principles (PBE-GGA) data for a geometry-optimized TbHoIr2 structure, as listed in the Alexandria database.

Output
The value obtained for the calculated volume is 322 Å³ per cell. As for the mass density: 14.60 g/cm³. Its calculated formation energy is -3.2 eV/f.u.

Geometry as CIF:
```
data_TbHoIr2
_chemical_formula_sum 'Tb4 Ho4 Ir8'
_symmetry_space_group_name_H-M 'F m -3 m'
_symmetry_Int_Tables_number 225
_symmetry_space_group_name_Hall '-F 4 2 3'
_cell_length_a 6.8556
_cell_length_b 6.8556
_cell_length_c 6.8556
_cell_angle_alpha 90.00
_cell_angle_beta 90.00
_cell_angle_gamma 90.00
loop_
_atom_site_label
_atom_site_fract_x
_atom_site_fract_y
_atom_site_fract_z
Tb1 0.0000 0.0000 0.0000
Ho1 0.0000 0.0000 0.5000
Ir1 0.2500 0.2500 0.2500
```